# 1
First-principles (PBE) data for an optimized crystal structure of Pm6Ge3S2Cl, as listed in Alexandria.

Cell lengths 4.205, 8.342, 9.329 Å; angles 102.05, 103.02, 90.00 degrees
Element x y z (fractional)
Pm  0.328  0.914  0.656
Pm  0.667  0.584  0.334
Pm  0.672  0.086  0.344
Pm  0.001  0.263  0.002
Pm  0.999  0.737  0.998
Pm  0.333  0.416  0.666
Ge  0.500  0.500  0.000
Ge  0.836  0.166  0.672
Ge  0.164  0.834  0.328
S  0.833  0.667  0.666
S  0.167  0.333  0.334
Cl  0.500  0.000  0.000

Summary:
For the total energy, the calculation gives -5.77 eV/atom.

***

# 2
First-principles (PBE) data for an optimized crystal structure of GdTmCoAg, as listed in Alexandria.

Cell lengths 4.930, 4.930, 4.930 Å; angles 60.00, 60.00, 60.00 degrees
Element x y z (fractional)
Gd  0.500  0.500  0.500
Tm  0.000  0.000  0.000
Co  0.750  0.750  0.750
Ag  0.250  0.250  0.250

Summary:
For the total energy, the calculation gives -7.30 eV/atom. Its formation energy from the elements is -170 meV/atom.

***

# 3
First-principles (PBE) data for an optimized crystal structure of Ba2NaRe2N6, as listed in Alexandria.

Cell lengths 6.151, 6.532, 7.278 Å; angles 117.37, 90.00, 118.09 degrees
Element x y z (fractional)
Ba  0.712  0.425  0.188
Ba  0.288  0.575  0.812
Na  0.500  0.000  0.500
Re  0.981  0.962  0.803
Re  0.019  0.038  0.197
N  0.799  0.598  0.622
N  0.171  0.864  0.201
N  0.307  0.136  0.799
N  0.829  0.136  0.799
N  0.693  0.864  0.201
N  0.201  0.402  0.378

Summary:
For the total energy, the calculation gives -7.60 eV/atom.

***

# 4
First-principles (PBE) data for an optimized crystal structure of YS2N2, as listed in Alexandria.

Cell lengths 5.397, 5.397, 4.731 Å; angles 90.00, 90.00, 90.00 degrees
Element x y z (fractional)
Y  0.000  0.000  0.000
S  0.000  0.500  0.000
S  0.500  0.000  0.000
N  0.500  0.500  0.500
N  0.000  0.000  0.500

Summary:
For the total energy, the calculation gives -4.92 eV/atom.

***

# 5
First-principles (PBE) data for an optimized crystal structure of Mn3AsN, as listed in Alexandria.

Cell lengths 3.797, 5.294, 6.406 Å; angles 114.41, 90.00, 90.00 degrees
Element x y z (fractional)
Mn  0.500  0.254  0.000
Mn  0.000  0.849  0.699
Mn  0.500  0.746  0.000
Mn  0.500  0.500  0.500
Mn  0.000  0.151  0.301
Mn  0.500  0.000  0.500
As  0.000  0.631  0.262
As  0.000  0.369  0.738
N  0.500  0.125  0.251
N  0.500  0.875  0.749

Summary:
For the total energy, the calculation gives -8.21 eV/atom.

***

# 6
First-principles (PBE) data for an optimized crystal structure of Tb5Al2, as listed in Alexandria.

Cell lengths 5.495, 8.906, 8.335 Å; angles 98.58, 109.25, 90.00 degrees
Element x y z (fractional)
Tb  0.337  0.452  0.242
Tb  0.095  0.048  0.758
Tb  0.105  0.676  0.547
Tb  0.558  0.824  0.453
Tb  0.895  0.324  0.453
Tb  0.442  0.176  0.547
Tb  0.905  0.952  0.242
Tb  0.663  0.548  0.758
Tb  0.760  0.250  0.000
Tb  0.240  0.750  0.000
Al  0.206  0.398  0.837
Al  0.369  0.102  0.163
Al  0.794  0.602  0.163
Al  0.631  0.898  0.837

Summary:
For the total energy, the calculation gives -4.58 eV/atom. Its formation energy from the elements is -200 meV/atom.